[1]
Zr2TlS (PBE-GGA, optimized geometry); raw formation energy = -801 meV per atom
1.0
1.826 1.054 7.453
-1.826 1.054 7.453
0.000 -2.108 7.453
Zr Tl S
2 1 1
Cartesian
0.000 0.000 5.101 Zr
0.000 0.000 17.259 Zr
0.000 0.000 0.000 Tl
0.000 0.000 11.180 S

***

[2]
La2DyTh (PBE-GGA, optimized geometry); calculated total energy = -0.1997 Ha/atom
1.0
1.823 1.052 11.855
-1.823 1.052 11.855
0.000 -2.105 11.855
La Dy Th
2 1 1
Cartesian
0.000 0.000 0.000 La
0.000 0.000 6.024 La
0.000 0.000 26.727 Dy
0.000 0.000 20.775 Th

***

[3]
TbSmDy5Er2 (PBE-GGA, optimized geometry); calculated total energy = -0.1636 Ha/atom
1.0
2.793 -9.897 0.000
2.793 9.897 0.000
0.000 0.000 10.535
Tb Sm Dy Er
2 2 10 4
Cartesian
2.793 5.942 5.267 Tb
2.793 -5.942 0.000 Tb
2.793 1.679 9.912 Sm
2.793 -1.679 4.644 Sm
2.793 9.546 5.405 Dy
2.793 4.326 8.418 Dy
2.793 3.981 2.071 Dy
2.793 2.187 5.392 Dy
2.793 0.428 2.380 Dy
2.793 -0.428 7.647 Dy
2.793 -2.187 0.125 Dy
2.793 -3.981 7.339 Dy
2.793 -4.326 3.151 Dy
2.793 -9.546 0.137 Dy
2.793 7.714 2.368 Er
2.793 7.643 8.506 Er
2.793 -7.643 3.238 Er
2.793 -7.714 7.635 Er

***

[4]
TiNbVTc (PBE-GGA, optimized geometry); calculated total energy = -0.3516 Ha/atom
1.0
3.140 0.000 0.000
0.000 3.140 0.000
0.000 0.000 6.335
Ti Nb V Tc
1 1 1 1
Cartesian
0.000 0.000 0.000 Ti
0.000 0.000 3.131 Nb
1.570 1.570 4.734 V
1.570 1.570 1.540 Tc

***

[5]
Sr2ZrCu (PBE-GGA, optimized geometry); calculated total energy = -0.1230 Ha/atom
1.0
-2.483 2.483 4.952
2.483 -2.483 4.952
2.483 2.483 -4.952
Sr Zr Cu
2 1 1
Cartesian
2.483 0.000 2.476 Sr
0.000 2.483 2.476 Sr
0.000 0.000 0.000 Zr
0.000 0.000 4.952 Cu

***

[6]
NaGd2Cd (PBE-GGA, optimized geometry); calculated total energy = -0.2789 Ha/atom
1.0
5.325 0.000 0.000
0.000 5.325 0.000
0.000 0.000 4.029
Na Gd Cd
1 2 1
Cartesian
0.000 0.000 0.000 Na
0.000 2.663 2.015 Gd
2.663 0.000 2.015 Gd
2.663 2.663 0.000 Cd

***

[7]
AcGd2Te (PBE-GGA, optimized geometry); raw formation energy = -451 meV per atom
1.0
4.950 0.000 0.000
0.000 4.950 0.000
0.000 0.000 5.134
Ac Gd Te
1 2 1
Cartesian
0.000 0.000 0.000 Ac
0.000 2.475 2.567 Gd
2.475 0.000 2.567 Gd
2.475 2.475 0.000 Te

***

[8]
RbTlTeI2 (PBE-GGA, optimized geometry); raw formation energy = -514 meV per atom
1.0
6.391 0.000 0.000
0.000 6.391 0.000
0.000 0.000 5.811
Rb Tl Te I
1 1 1 2
Cartesian
0.000 0.000 0.000 Rb
3.195 3.195 2.906 Tl
3.195 3.195 0.000 Te
0.000 3.195 2.906 I
3.195 0.000 2.906 I

***

[9]
Cs2InSn2 (PBE-GGA, optimized geometry); calculated total energy = -0.0869 Ha/atom
1.0
11.183 0.000 0.000
0.000 11.183 0.000
0.000 0.000 3.592
Cs In Sn
4 2 4
Cartesian
2.282 3.310 0.000 Cs
3.310 8.902 0.000 Cs
7.873 2.282 0.000 Cs
8.902 7.873 0.000 Cs
0.000 0.000 1.796 In
5.592 5.592 1.796 In
1.003 6.594 1.796 Sn
4.589 1.003 1.796 Sn
6.594 10.181 1.796 Sn
10.181 4.589 1.796 Sn

***

[10]
BaCeSiN3 (PBE-GGA, optimized geometry); raw formation energy = -923 meV per atom
1.0
6.505 -1.911 0.000
6.505 1.911 0.000
-2.197 0.000 7.405
Ba Ce Si N
2 2 2 6
Cartesian
1.679 0.000 0.502 Ba
9.134 0.000 6.903 Ba
0.678 0.000 4.242 Ce
10.134 0.000 3.164 Ce
4.845 0.000 5.416 Si
5.967 0.000 1.989 Si
-0.588 0.000 2.214 N
3.119 0.000 4.704 N
4.161 0.000 1.720 N
6.651 0.000 5.685 N
7.693 0.000 2.701 N
11.400 0.000 5.191 N

***

[11]
BeAgW2 (PBE-GGA, optimized geometry); calculated total energy = -0.2834 Ha/atom
1.0
2.754 0.000 0.000
0.000 4.137 0.000
-0.871 0.000 5.292
Be Ag W
1 1 2
Cartesian
0.000 0.000 0.000 Be
1.908 2.068 3.941 Ag
0.538 0.000 2.457 W
1.400 2.068 1.114 W

***

[12]
AgP3 (PBE-GGA, optimized geometry); calculated total energy = -0.1460 Ha/atom
1.0
4.034 0.000 0.000
0.000 4.034 0.000
0.000 0.000 4.034
Ag P
1 3
Cartesian
0.000 0.000 0.000 Ag
0.000 2.017 2.017 P
2.017 0.000 2.017 P
2.017 2.017 0.000 P

***

[13]
LuCoSi2 (PBE-GGA, optimized geometry); raw formation energy = -726 meV per atom
1.0
1.933 1.116 4.847
-1.933 1.116 4.847
0.000 -2.232 4.847
Lu Co Si
1 1 2
Cartesian
0.000 0.000 0.000 Lu
0.000 0.000 7.271 Co
0.000 0.000 3.050 Si
0.000 0.000 11.491 Si

***

[14]
BaZr2Pt (PBE-GGA, optimized geometry); calculated total energy = -0.2197 Ha/atom
1.0
0.000 3.665 3.665
3.665 0.000 3.665
3.665 3.665 0.000
Ba Zr Pt
1 2 1
Cartesian
0.000 0.000 0.000 Ba
1.832 1.832 1.832 Zr
3.665 3.665 3.665 Zr
5.497 5.497 5.497 Pt

***

[15]
BeHg2 (PBE-GGA, optimized geometry); calculated total energy = -0.0404 Ha/atom
1.0
0.000 3.071 3.071
3.071 0.000 3.071
3.071 3.071 0.000
Be Hg
1 2
Cartesian
0.000 0.000 0.000 Be
1.535 1.535 1.535 Hg
4.606 4.606 4.606 Hg

***

[16]
YHoZnIr (PBE-GGA, optimized geometry); calculated total energy = -0.2179 Ha/atom
1.0
0.000 3.481 3.481
3.481 0.000 3.481
3.481 3.481 0.000
Y Ho Zn Ir
1 1 1 1
Cartesian
0.000 0.000 0.000 Y
3.481 3.481 3.481 Ho
5.221 5.221 5.221 Zn
1.740 1.740 1.740 Ir

***

[17]
Cd3As2Cl2 (PBE-GGA, optimized geometry); raw formation energy = -380 meV per atom
1.0
4.254 0.000 0.000
-1.585 6.204 0.000
-0.901 -0.587 7.491
Cd As Cl
3 2 2
Cartesian
0.000 0.000 0.000 Cd
-0.076 2.939 5.456 Cd
1.843 2.678 2.035 Cd
0.598 4.615 0.349 As
1.170 1.001 7.143 As
-0.225 1.453 3.315 Cl
1.993 4.164 4.176 Cl

***

[18]
Li2Cu5Pd (PBE-GGA, optimized geometry); calculated total energy = -0.1401 Ha/atom
1.0
5.234 0.000 0.000
0.000 10.414 0.000
0.000 0.000 3.648
Li Cu Pd
4 10 2
Cartesian
1.236 1.279 0.000 Li
1.381 6.486 0.000 Li
3.853 3.928 0.000 Li
3.998 9.135 0.000 Li
0.000 5.207 1.824 Cu
0.086 7.769 1.824 Cu
1.224 3.858 0.000 Cu
1.393 9.065 0.000 Cu
2.531 2.562 1.824 Cu
2.617 0.000 1.824 Cu
2.703 7.852 1.824 Cu
3.841 1.349 0.000 Cu
4.010 6.556 0.000 Cu
5.148 2.645 1.824 Cu
0.000 0.000 1.824 Pd
2.617 5.207 1.824 Pd

***

[19]
CeHoTl2Se4 (PBE-GGA, optimized geometry); raw formation energy = -1345 meV per atom
1.0
7.382 0.000 0.000
0.000 4.259 0.000
-2.446 0.000 7.753
Ce Ho Tl Se
1 1 2 4
Cartesian
0.000 0.000 0.000 Ce
3.691 2.130 0.000 Ho
-1.223 2.130 3.877 Tl
2.468 0.000 3.877 Tl
1.296 2.130 1.610 Se
0.074 0.000 6.171 Se
4.863 0.000 1.582 Se
3.641 2.130 6.143 Se

***

[20]
ZnSi2Rh (PBE-GGA, optimized geometry); raw formation energy = -91 meV per atom
1.0
1.485 0.857 7.627
-1.485 0.857 7.627
0.000 -1.715 7.627
Zn Si Rh
1 2 1
Cartesian
0.000 0.000 0.000 Zn
0.000 0.000 5.609 Si
0.000 0.000 11.406 Si
0.000 0.000 17.324 Rh

***

Short version: DOS at the Fermi energy = 1.78 7.02 28.76 6.06 6.24 5.52 5.10 5.50 9.10 0.71 1.69 2.33 1.97 3.77 1.49 2.97 1.25 5.36 6.38 2.96 states/eV per cell, in the order given.